(1)
# LaCu2Bi2 (GGA-PBE, relaxed)
data_LaCu2Bi2
_chemical_formula_sum 'La1 Cu2 Bi2'
_space_group_name_H-M_alt 'P 1'
_space_group_IT_number 1
_cell_length_a 6.342
_cell_length_b 6.342
_cell_length_c 6.342
_cell_angle_alpha 135.75
_cell_angle_beta 135.75
_cell_angle_gamma 64.36
loop_
_space_group_symop_operation_xyz
'x,y,z'
loop_
_atom_site_label
_atom_site_type_symbol
_atom_site_fract_x
_atom_site_fract_y
_atom_site_fract_z
_atom_site_occupancy
La1 La 0.000 0.000 0.000 1
Cu1 Cu 0.390 0.390 0.000 1
Cu2 Cu 0.610 0.610 0.000 1
Bi1 Bi 0.250 0.750 0.500 1
Bi2 Bi 0.750 0.250 0.500 1
# Crystal system ... tetragonal
# D(E_F) ... 0.481 states/eV per atom
# Electronic total energy ... -4.440 eV per atom

(2)
# La2Cu2Bi (GGA-PBE, relaxed)
data_La2Cu2Bi
_chemical_formula_sum 'La4 Cu4 Bi2'
_space_group_name_H-M_alt 'P 1'
_space_group_IT_number 1
_cell_length_a 7.697
_cell_length_b 7.697
_cell_length_c 4.255
_cell_angle_alpha 90.00
_cell_angle_beta 90.00
_cell_angle_gamma 90.00
loop_
_space_group_symop_operation_xyz
'x,y,z'
loop_
_atom_site_label
_atom_site_type_symbol
_atom_site_fract_x
_atom_site_fract_y
_atom_site_fract_z
_atom_site_occupancy
La1 La 0.176 0.324 0.000 1
La2 La 0.324 0.824 0.000 1
La3 La 0.676 0.176 0.000 1
La4 La 0.824 0.676 0.000 1
Cu1 Cu 0.114 0.614 0.500 1
Cu2 Cu 0.386 0.114 0.500 1
Cu3 Cu 0.614 0.886 0.500 1
Cu4 Cu 0.886 0.386 0.500 1
Bi1 Bi 0.000 0.000 0.500 1
Bi2 Bi 0.500 0.500 0.500 1
# Crystal system ... tetragonal
# D(E_F) ... 1.000 states/eV per atom
# Electronic total energy ... -4.831 eV per atom

(3)
# La2CuBi (GGA-PBE, relaxed)
data_La2CuBi
_chemical_formula_sum 'La2 Cu1 Bi1'
_space_group_name_H-M_alt 'P 1'
_space_group_IT_number 1
_cell_length_a 5.307
_cell_length_b 5.307
_cell_length_c 4.134
_cell_angle_alpha 90.00
_cell_angle_beta 90.00
_cell_angle_gamma 90.00
loop_
_space_group_symop_operation_xyz
'x,y,z'
loop_
_atom_site_label
_atom_site_type_symbol
_atom_site_fract_x
_atom_site_fract_y
_atom_site_fract_z
_atom_site_occupancy
La1 La 0.000 0.500 0.000 1
La2 La 0.500 0.000 0.000 1
Cu1 Cu 0.000 0.000 0.500 1
Bi1 Bi 0.500 0.500 0.500 1
# Crystal system ... tetragonal
# D(E_F) ... 0.869 states/eV per atom
# Electronic total energy ... -4.919 eV per atom

(4)
# La2Cu2Bi (GGA-PBE, relaxed)
data_La2Cu2Bi
_chemical_formula_sum 'La2 Cu2 Bi1'
_space_group_name_H-M_alt 'P 1'
_space_group_IT_number 1
_cell_length_a 8.807
_cell_length_b 8.807
_cell_length_c 8.807
_cell_angle_alpha 153.71
_cell_angle_beta 153.71
_cell_angle_gamma 37.53
loop_
_space_group_symop_operation_xyz
'x,y,z'
loop_
_atom_site_label
_atom_site_type_symbol
_atom_site_fract_x
_atom_site_fract_y
_atom_site_fract_z
_atom_site_occupancy
La1 La 0.114 0.114 0.000 1
La2 La 0.886 0.886 0.000 1
Cu1 Cu 0.250 0.750 0.500 1
Cu2 Cu 0.750 0.250 0.500 1
Bi1 Bi 0.500 0.500 0.000 1
# Crystal system ... tetragonal
# D(E_F) ... 1.321 states/eV per atom
# Electronic total energy ... -4.627 eV per atom

(5)
# La3CuBi (GGA-PBE, relaxed)
data_La3CuBi
_chemical_formula_sum 'La3 Cu1 Bi1'
_space_group_name_H-M_alt 'P 1'
_space_group_IT_number 1
_cell_length_a 5.558
_cell_length_b 5.558
_cell_length_c 5.558
_cell_angle_alpha 90.00
_cell_angle_beta 90.00
_cell_angle_gamma 90.00
loop_
_space_group_symop_operation_xyz
'x,y,z'
loop_
_atom_site_label
_atom_site_type_symbol
_atom_site_fract_x
_atom_site_fract_y
_atom_site_fract_z
_atom_site_occupancy
La1 La 0.000 0.000 0.500 1
La2 La 0.000 0.500 0.000 1
La3 La 0.500 0.000 0.000 1
Cu1 Cu 0.000 0.000 0.000 1
Bi1 Bi 0.500 0.500 0.500 1
# Crystal system ... cubic
# D(E_F) ... 1.543 states/eV per atom
# Electronic total energy ... -4.783 eV per atom

(6)
# La4Cu3Bi8 (GGA-PBE, relaxed)
data_La4Cu3Bi8
_chemical_formula_sum 'La4 Cu3 Bi8'
_space_group_name_H-M_alt 'P 1'
_space_group_IT_number 1
_cell_length_a 4.639
_cell_length_b 4.639
_cell_length_c 19.887
_cell_angle_alpha 90.00
_cell_angle_beta 90.00
_cell_angle_gamma 90.00
loop_
_space_group_symop_operation_xyz
'x,y,z'
loop_
_atom_site_label
_atom_site_type_symbol
_atom_site_fract_x
_atom_site_fract_y
_atom_site_fract_z
_atom_site_occupancy
La1 La 0.000 0.500 0.114 1
La2 La 0.000 0.500 0.619 1
La3 La 0.500 0.000 0.381 1
La4 La 0.500 0.000 0.886 1
Cu1 Cu 0.000 0.000 0.000 1
Cu2 Cu 0.000 0.000 0.500 1
Cu3 Cu 0.500 0.500 0.500 1
Bi1 Bi 0.000 0.000 0.247 1
Bi2 Bi 0.000 0.000 0.753 1
Bi3 Bi 0.000 0.500 0.421 1
Bi4 Bi 0.000 0.500 0.929 1
Bi5 Bi 0.500 0.000 0.071 1
Bi6 Bi 0.500 0.000 0.579 1
Bi7 Bi 0.500 0.500 0.248 1
Bi8 Bi 0.500 0.500 0.752 1
# Crystal system ... tetragonal
# D(E_F) ... 0.356 states/eV per atom
# Electronic total energy ... -4.789 eV per atom